Below is an optimized crystal structure of TiInI2O, with properties calculated at the PBE-GGA level.

Lattice parameters (Å, degrees): 6.0249 6.0249 3.9452 90.00 90.00 90.00
Closest atoms and distances in Å follow each position.
Sites, in units of the cell vectors:
1 I 0.0000 0.5000 0.0000  2 In 3.01
2 O 0.0000 0.0000 0.5000  2 In 1.97
3 I 0.5000 0.0000 0.0000  2 In 3.01
4 In 0.0000 0.0000 0.0000  2 O 1.97
5 Ti 0.5000 0.5000 0.5000  8 I 3.60, 2 Ti 3.95

Output
The calculation puts the density of states at the Fermi level at 3.66 states/eV/f.u. For the energy above the lowest structure with this stoichiometry, the calculation gives 1031.2 meV per atom. The formation energy from raw total energies comes out at -0.070 eV/atom.